First-principles (PBE) data for YPu after structural relaxation, as listed in OQMD via LeMat-Bulk.

Summary:
Calculated density   9.6 g/cm³
Energy relative to the elements   0.123 eV/atom
E_tot   -10.173 eV per atom
Spin magnetization   12.2 μB per cell

Cell: 3.4974 3.4974 10.8957 Å, 90.00 90.00 120.00°
With the nearest neighbours (Å) after each atom.
Space group P6_3/mmc (No. 194)
Symmetry-distinct sites (fractional):
1 Y 0.0000 0.0000 0.0000  6 Pu 3.39, 6 Y 3.50
2 Pu 0.3333 0.6667 0.2500  6 Y 3.39, 6 Pu 3.50